Below is a relaxed structure of GaGe6Se8, with properties calculated at the GGA-PBE level.

Unit cell a=7.4782 b=7.4782 c=7.4782 alpha=76.33 beta=76.33 gamma=76.33
With the nearest neighbours (Å) after each atom.
Positions (direct):
Ga1 0.0000 0.0000 0.0000  6 Se 2.67
Ge1 0.6355 0.3912 0.8805  3 Se 2.53-2.58
Ge2 0.3912 0.8805 0.6355  3 Se 2.53-2.58
Ge3 0.8805 0.6355 0.3912  3 Se 2.53-2.58
Ge4 0.3645 0.6088 0.1195  3 Se 2.53-2.58
Ge5 0.6088 0.1195 0.3645  3 Se 2.53-2.58
Ge6 0.1195 0.3645 0.6088  3 Se 2.53-2.58
Se1 0.7149 0.7149 0.7149  3 Ge 2.58
Se2 0.2851 0.2851 0.2851  3 Ge 2.58
Se3 0.6850 0.8715 0.1641  2 Ge 2.53-2.58, 1 Ga 2.67
Se4 0.8715 0.1641 0.6850  2 Ge 2.53-2.58, 1 Ga 2.67
Se5 0.1641 0.6850 0.8715  2 Ge 2.53-2.58, 1 Ga 2.67
Se6 0.3150 0.1285 0.8359  2 Ge 2.53-2.58, 1 Ga 2.67
Se7 0.1285 0.8359 0.3150  2 Ge 2.53-2.58, 1 Ga 2.67
Se8 0.8359 0.3150 0.1285  2 Ge 2.53-2.58, 1 Ga 2.67

Properties
* total DFT energy (no corrections): -61.6 eV/cell
* spin magnetization: 0.00 μB per atom
* uncorrected formation energy: -3.0 eV per formula unit

Below is a relaxed structure of GaGe2Se2, with properties calculated at the GGA-PBE level.

Unit cell a=3.8966 b=3.8966 c=7.9185 alpha=75.76 beta=75.76 gamma=90.00
With the nearest neighbours (Å) after each atom.
Positions (direct):
Ge1 0.7500 0.2500 0.5000  4 Ge 2.76, 4 Se 3.02
Ge2 0.2500 0.7500 0.5000  4 Ge 2.76, 4 Se 3.02
Ga1 0.0000 0.0000 0.0000  8 Se 3.09
Se1 0.4051 0.4051 0.1897  1 Se 2.82, 4 Ge 3.02, 4 Ga 3.09
Se2 0.5949 0.5949 0.8103  1 Se 2.82, 4 Ge 3.02, 4 Ga 3.09

Properties
* total DFT energy (no corrections): -18.5 eV/cell
* spin magnetization: 0.00 μB per atom
* uncorrected formation energy: 0.7 eV per formula unit

Below is a relaxed structure of GaGeSe2, with properties calculated at the GGA-PBE level.

Unit cell a=6.8832 b=6.8832 c=6.5316 alpha=58.20 beta=58.20 gamma=90.00
With the nearest neighbours (Å) after each atom.
Positions (direct):
Ge1 0.0000 0.0000 0.0000  4 Se 2.72
Ge2 0.7500 0.2500 0.5000  4 Se 2.72
Ga1 0.5000 0.5000 0.0000  4 Se 2.62
Ga2 0.2500 0.7500 0.5000  4 Se 2.62
Se1 0.6141 0.1250 0.2500  2 Ga 2.62, 2 Ge 2.72
Se2 0.1359 0.6250 0.2500  2 Ga 2.62, 2 Ge 2.72
Se3 0.3750 0.3859 0.7500  2 Ga 2.62, 2 Ge 2.72
Se4 0.8750 0.8641 0.7500  2 Ga 2.62, 2 Ge 2.72

Properties
* total DFT energy (no corrections): -30.3 eV/cell
* spin magnetization: 0.00 μB per atom
* uncorrected formation energy: -0.5 eV per formula unit

Below is a relaxed structure of GaGe2Se, with properties calculated at the GGA-PBE level.

Unit cell a=4.8205 b=4.8205 c=4.8205 alpha=60.00 beta=60.00 gamma=60.00
With the nearest neighbours (Å) after each atom.
Positions (direct):
Ge1 0.2500 0.2500 0.2500  4 Se 2.95, 4 Ga 2.95
Ge2 0.7500 0.7500 0.7500  4 Ga 2.95, 4 Se 2.95
Ga1 0.0000 0.0000 0.0000  8 Ge 2.95
Se1 0.5000 0.5000 0.5000  8 Ge 2.95

Properties
* total DFT energy (no corrections): -14.7 eV/cell
* spin magnetization: 0.00 μB per atom
* uncorrected formation energy: 1.0 eV per formula unit

Below is a relaxed structure of Ga3GeSe, with properties calculated at the GGA-PBE level.

Unit cell a=4.9927 b=4.9927 c=4.9927 alpha=90.00 beta=90.00 gamma=90.00
With the nearest neighbours (Å) after each atom.
Positions (direct):
Ge1 0.0000 0.0000 0.0000  6 Ga 2.50
Ga1 0.0000 0.5000 0.0000  2 Ge 2.50
Ga2 0.0000 0.0000 0.5000  2 Ge 2.50
Ga3 0.5000 0.0000 0.0000  2 Ge 2.50
Se1 0.5000 0.5000 0.5000  12 Ga 3.53

Properties
* total DFT energy (no corrections): -16.0 eV/cell
* spin magnetization: 0.00 μB per atom
* uncorrected formation energy: 1.1 eV per formula unit

Below is a relaxed structure of GaGeSe2, with properties calculated at the GGA-PBE level.

Unit cell a=3.7870 b=3.7870 c=8.5544 alpha=80.35 beta=80.35 gamma=57.44
With the nearest neighbours (Å) after each atom.
Positions (direct):
Ga1 0.9304 0.9304 0.3373  3 Se 2.49-2.50
Ge1 0.3972 0.3972 0.0849  3 Se 2.54-2.60
Se1 0.5675 0.5675 0.4855  3 Ga 2.49-2.50
Se2 0.7562 0.7562 0.9164  3 Ge 2.54-2.60

Properties
* total DFT energy (no corrections): -15.9 eV/cell
* spin magnetization: 0.00 μB per atom
* uncorrected formation energy: -1.3 eV per formula unit

Question: Look up the total DFT energy (no corrections) of the second one.
Answer: -18.5 eV/cell